[1]
A geometry-optimized CdW2Se structure. Source: the Alexandria database, functional PBE-GGA.

```
CdW2Se
1.0
-3.3640 -2.6765 1.7613
3.1914 -3.0015 1.5454
0.2613 4.4851 1.1823
Cd Se W
1 1 2
Cartesian
-0.0863 -2.8390 1.6534
-1.5945 -0.5152 2.2985
0.0000 0.0000 0.0000
1.6832 -0.6777 2.1905
```

Values from the calculation:
Magnetization (μB per atom): 0.0000
Fermi-level density of states (states/eV/cell): 1.467
Raw formation energy (meV/atom): 851
Energy above the most stable polymorph in this dataset (eV per formula unit): 2.15
ρ (g/cm3): 13.100
SG: F-43m (216)


[2]
A geometry-optimized YPbSe2 structure. Source: the Alexandria database, functional PBE-GGA.

```
YPbSe2
1.0
-4.5196 -2.7130 2.8378
2.3911 -3.2571 0.6943
1.3257 1.7895 3.8221
Pb Se Y
1 2 1
Cartesian
0.9905 -2.6383 5.3700
3.2536 -1.2859 3.9525
-0.8665 -1.9063 3.1123
1.3948 -0.5513 1.6943
```

Values from the calculation:
Magnetization (μB per atom): 0.0000
Fermi-level density of states (states/eV/cell): 1.819
Raw formation energy (meV/atom): -1055
ρ (g/cm3): 6.944
SG: Pmm2 (25)


[3]
A geometry-optimized LiCe2Mg structure. Source: the Alexandria database, functional PBE-GGA.

```
LiCe2Mg
1.0
-3.1220 -1.5088 -1.8179
1.2877 -3.6126 0.7869
-3.4278 0.0511 5.8442
Mg Ce Li
1 2 1
Cartesian
-2.6311 -2.5351 2.4066
-2.7055 0.0404 4.6128
-0.7223 0.0108 1.2315
-0.9172 -2.5607 -0.5155
```

Values from the calculation:
Magnetization (μB per atom): 0.4285
Fermi-level density of states (states/eV/cell): 10.375
Energy above the most stable polymorph in this dataset (eV per formula unit): 0.31
ρ (g/cm3): 4.980
SG: P4/mmm (123)
ΔE_f (eV/f.u.): 0.8


[4]
A geometry-optimized ScTaZn2 structure. Source: the Alexandria database, functional PBE-GGA.

```
ScTaZn2
1.0
4.2833 0.0000 0.0000
0.0000 4.2840 0.0000
0.0000 0.0000 3.7239
Sc Ta Zn
1 1 2
Cartesian
2.1417 0.0000 1.8620
0.0000 2.1420 1.8620
0.0000 0.0000 0.0000
2.1417 2.1420 0.0000
```

Values from the calculation:
Magnetization (μB per atom): 0.0002
Fermi-level density of states (states/eV/cell): 2.564
Energy above the most stable polymorph in this dataset (eV per formula unit): 0.24
ρ (g/cm3): 8.668
SG: P4/mmm (123)
ΔE_f (eV/f.u.): -0.2


[5]
A geometry-optimized UTlGa2O8 structure. Source: the Alexandria database, functional PBE-GGA.

```
UTlGa2O8
1.0
0.2127 -3.6892 4.6480
4.9907 -0.5260 -3.1741
-0.5374 5.5891 1.9319
U Tl Ga O
1 1 2 8
Cartesian
3.5275 1.4778 -0.2526
0.0000 0.0000 0.0000
1.1385 -0.1038 3.6584
2.6017 -2.1076 0.7369
0.1474 0.4030 2.1710
2.5677 -0.3233 0.2201
0.2258 3.2142 2.6553
0.0299 1.0903 4.5512
3.4722 -2.4811 2.3353
1.3829 -1.8700 4.1805
2.9938 -0.0385 3.7311
3.0664 2.3382 1.6009
```

Values from the calculation:
Magnetization (μB per atom): 0.0709
Fermi-level density of states (states/eV/cell): 10.494
Raw formation energy (meV/atom): -1708
ρ (g/cm3): 7.314
SG: I-4m2 (119)


[6]
A geometry-optimized Li2LaPrSe4 structure. Source: the Alexandria database, functional PBE-GGA.

```
Li2LaPrSe4
1.0
-1.7118 -0.8991 -3.8124
-3.9900 -5.4247 3.0708
-3.5033 6.0188 0.1536
Li La Pr Se
2 1 1 4
Cartesian
-2.6075 2.5598 -1.8294
-3.7467 0.2970 1.6122
-2.8509 -3.1619 -0.3708
0.0000 0.0000 0.0000
-2.7731 -0.2444 -1.0937
-6.4320 -0.0606 0.5058
-3.5671 3.1217 0.8655
-3.9262 -2.5276 2.3590
```

Values from the calculation:
Magnetization (μB per atom): 0.0000
Fermi-level density of states (states/eV/cell): 0.000
Raw formation energy (meV/atom): -1689
ρ (g/cm3): 4.909
SG: P2/m (10)